1.
Material: Tl6CdSb2
Method: DFT, PBE-GGA
State: relaxed

Structure (POSCAR):
```
Tl6CdSb2
1.0
2.731 1.577 11.161
-2.731 1.577 11.161
0.000 -3.154 11.161
Tl Cd Sb
6 1 2
Direct
0.056 0.056 0.056
0.203 0.203 0.203
0.312 0.312 0.312
0.688 0.688 0.688
0.797 0.797 0.797
0.944 0.944 0.944
0.500 0.500 0.500
0.416 0.416 0.416
0.584 0.584 0.584
```

The crystal system is trigonal. The energy relative to the elements, uncorrected is 0.774 kcal/mol of atoms.

---

2.
Material: U3Sb
Method: DFT, PBE-GGA
State: relaxed

Structure (POSCAR):
```
U3Sb
1.0
10.717 0.000 0.000
0.000 6.357 0.000
-2.776 0.000 5.264
U Sb
12 4
Direct
0.038 0.000 0.243
0.138 0.276 0.773
0.138 0.724 0.773
0.362 0.224 0.227
0.362 0.776 0.227
0.462 0.500 0.757
0.538 0.500 0.243
0.638 0.224 0.773
0.638 0.776 0.773
0.862 0.276 0.227
0.862 0.724 0.227
0.962 0.000 0.757
0.142 0.500 0.298
0.358 0.000 0.702
0.642 0.000 0.298
0.858 0.500 0.702
```

The crystal system is monoclinic. The energy relative to the elements, uncorrected is -0.626 kcal/mol of atoms.

---

3.
Material: Pr6NdSm3
Method: DFT, PBE-GGA
State: relaxed

Structure (POSCAR):
```
Pr6NdSm3
1.0
5.072 2.928 4.020
-5.072 2.928 4.020
0.000 -5.857 4.020
Pr Nd Sm
6 1 3
Direct
0.000 0.327 0.673
0.174 0.826 0.500
0.327 0.673 0.000
0.500 0.174 0.826
0.673 0.000 0.327
0.826 0.500 0.174
0.000 0.000 0.000
0.251 0.251 0.251
0.500 0.500 0.500
0.749 0.749 0.749
```

The crystal system is trigonal. For the formation energy, the calculation gives 5.0 kcal/mol of atoms.

---

4.
Material: ReAg2Se
Method: DFT, PBE-GGA
State: relaxed

Structure (POSCAR):
```
ReAg2Se
1.0
2.874 0.000 0.000
-1.437 2.489 0.000
0.000 0.000 29.516
Re Ag Se
3 6 3
Direct
0.000 0.000 0.000
0.333 0.667 0.667
0.667 0.333 0.333
0.000 0.000 0.254
0.000 0.000 0.746
0.333 0.667 0.413
0.333 0.667 0.920
0.667 0.333 0.080
0.667 0.333 0.587
0.000 0.000 0.500
0.333 0.667 0.167
0.667 0.333 0.833
```

The crystal system is trigonal. The energy relative to the elements, uncorrected is 13.386 kcal/mol of atoms.

---

5.
Material: BaTi2ZnCl
Method: DFT, PBE-GGA
State: relaxed

Structure (POSCAR):
```
BaTi2ZnCl
1.0
5.232 0.000 0.000
0.000 5.232 0.000
0.000 0.000 5.824
Ba Ti Zn Cl
1 2 1 1
Direct
0.000 0.000 0.000
0.000 0.500 0.000
0.500 0.000 0.000
0.000 0.000 0.500
0.500 0.500 0.500
```

The crystal system is tetragonal. The energy relative to the elements, uncorrected is 37.591 kcal/mol of atoms.

---

6.
Material: K2CrFe
Method: DFT, PBE-GGA
State: relaxed

Structure (POSCAR):
```
K2CrFe
1.0
5.467 0.000 0.000
0.000 5.467 0.000
0.000 0.000 7.713
K Cr Fe
4 2 2
Direct
0.000 0.000 0.000
0.000 0.500 0.250
0.500 0.000 0.750
0.500 0.500 0.500
0.000 0.000 0.500
0.500 0.500 0.000
0.000 0.500 0.750
0.500 0.000 0.250
```

The crystal system is tetragonal. For the formation energy, the calculation gives 28.6 kcal/mol of atoms.

---

Number 1: V 32.05 Å³/atom, D(E_F) 0.42 states/eV per atom, mass density 9.11 g/cm3. Number 2: V 22.42 Å³/atom, D(E_F) 2.33 states/eV per atom, mass density 15.48 g/cm3. Number 3: V 35.82 Å³/atom, D(E_F) 1.93 states/eV per atom, mass density 6.68 g/cm3. Number 4: V 17.60 Å³/atom, D(E_F) 1.31 states/eV per atom, mass density 11.35 g/cm3. Number 5: V 31.89 Å³/atom, D(E_F) 1.16 states/eV per atom, mass density 3.48 g/cm3. Number 6: V 28.82 Å³/atom, D(E_F) 1.06 states/eV per atom, mass density 2.68 g/cm3.